VASP calculation (GGA-PBE) on an optimized crystal structure of BaNaCa.

Lattice parameters (Å, degrees): 7.410 7.410 7.410 90.84 118.43 120.62
Fractional coordinates of all 6 atoms:
Ba 0.750 0.874 0.124
Na 0.500 0.000 0.500
Ca 0.500 0.500 0.500
Ca 0.000 0.500 0.000
Ba 0.250 0.126 0.876
Na 0.000 0.500 0.500

Properties
Fermi-level density of states = 4.12 states/eV per cell
spin magnetization = 0.0 Bohr magnetons per cell
space group = No. 74
formation energy from the elements = 0.9 kJ/mol of atoms